6
Lattice="-1.6154 2.7698 4.9375 1.6154 -2.7698 4.9375 1.6154 2.7698 -4.9375" Properties=species:S:1:pos:R:3 comment="GGA-PBE CsPrB4, optimized geometry" spacegroup="No. 71" magnetic_moment_mub_per_fu=0.00 pbc="T T T"
Cs 0.0000 0.0000 0.0000
B 0.0000 1.8436 2.4270
B 1.6154 0.9262 2.5105
B 0.0000 3.6960 2.4270
Pr 0.0000 0.0000 4.9375
B 1.6154 -0.9262 2.5105

***

6
Lattice="3.3147 0.0000 0.0000 -1.6573 2.8706 0.0000 0.0000 0.0000 9.7068" Properties=species:S:1:pos:R:3 comment="GGA-PBE CsPrB4, optimized geometry" spacegroup="No. 191" magnetic_moment_mub_per_fu=0.01 pbc="T T T"
Pr 0.0000 0.0000 4.8534
Cs 0.0000 0.0000 0.0000
B 1.6573 0.9569 2.8035
B 0.0000 1.9137 6.9033
B 1.6573 0.9569 6.9033
B 0.0000 1.9137 2.8035

***

6
Lattice="-0.6094 -1.8301 -2.5468 2.8452 1.4214 0.3017 3.0272 -6.9690 4.2835" Properties=species:S:1:pos:R:3 comment="GGA-PBE CsB4Pt, optimized geometry" spacegroup="No. 191" magnetic_moment_mub_per_fu=0.01 pbc="T T T"
Pt 0.0000 0.0000 0.0000
B 2.2482 -0.9389 0.1368
B 1.0966 -2.0227 -0.8127
B 4.1665 -5.3550 2.8511
B 3.0149 -6.4388 1.9016
Cs 1.5136 -3.4845 2.1417

***

6
Lattice="-1.4232 2.9135 4.8149 1.4232 -2.9135 4.8149 1.4232 2.9135 -4.8149" Properties=species:S:1:pos:R:3 comment="GGA-PBE CsB4Pt, optimized geometry" spacegroup="No. 71" magnetic_moment_mub_per_fu=0.00 pbc="T T T"
Pt 0.0000 0.0000 4.8149
B 1.4232 -0.8433 2.5945
B 0.0000 2.0702 2.2203
B 1.4232 0.8433 2.5945
Cs 0.0000 0.0000 0.0000
B 0.0000 3.7569 2.2203

***

5
Lattice="-4.8883 -3.0652 -0.6776 3.1074 -0.5291 4.8799 -2.9449 4.1817 2.3286" Properties=species:S:1:pos:R:3 comment="GGA-PBE CsRbB2Pt, optimized geometry" spacegroup="No. 156" magnetic_moment_mub_per_fu=0.09 pbc="T T T"
B -1.4462 1.3071 4.5207
B -0.6077 0.1164 3.8576
Cs -0.7571 1.0750 0.5986
Pt -2.4982 2.8009 5.3525
Rb -4.4218 0.9024 2.9136

***

3
Lattice="2.9882 0.5894 3.0893 0.4071 3.8721 1.9135 -1.2228 0.5178 4.1300" Properties=species:S:1:pos:R:3 comment="GGA-PBE CsReB, optimized geometry" spacegroup="No. 216" magnetic_moment_mub_per_fu=0.01 pbc="T T T"
Re 1.6294 3.7345 6.8496
Cs 0.5431 1.2448 2.2832
B 0.0000 0.0000 0.0000

***

6
Lattice="3.0855 0.0000 0.0000 -1.5428 2.6721 0.0000 0.0000 0.0000 8.8510" Properties=species:S:1:pos:R:3 comment="GGA-PBE CsReB4, optimized geometry" spacegroup="No. 191" magnetic_moment_mub_per_fu=0.00 pbc="T T T"
B 0.0000 1.7814 1.6388
B 1.5428 0.8907 1.6388
Re 0.0000 0.0000 0.0000
B 1.5428 0.8907 7.2122
Cs 0.0000 0.0000 4.4255
B 0.0000 1.7814 7.2122

***

6
Lattice="4.4111 2.9549 0.7925 -2.0833 4.8277 1.0814 0.8594 -5.0827 1.4979" Properties=species:S:1:pos:R:3 comment="GGA-PBE CsReB4, optimized geometry" spacegroup="No. 71" magnetic_moment_mub_per_fu=0.00 pbc="T T T"
Cs 0.0000 0.0000 0.0000
Re 1.1639 3.8913 0.9370
B 2.3835 0.8668 1.2166
B -0.6761 2.4305 1.5121
B 3.8633 0.2694 1.8597
B 0.8037 1.8331 2.1552

***

3
Lattice="0.0000 3.0974 3.0974 3.0974 0.0000 3.0974 3.0974 3.0974 0.0000" Properties=species:S:1:pos:R:3 comment="GGA-PBE CsReB, optimized geometry" spacegroup="No. 216" magnetic_moment_mub_per_fu=0.34 pbc="T T T"
Re 0.0000 0.0000 0.0000
Cs 4.6462 4.6462 4.6462
B 1.5487 1.5487 1.5487

***

6
Lattice="-2.9697 -0.8785 -1.1439 0.8405 -0.6952 3.1161 -3.5744 8.3901 2.8360" Properties=species:S:1:pos:R:3 comment="GGA-PBE CsSmB4, optimized geometry" spacegroup="No. 191" magnetic_moment_mub_per_fu=0.01 pbc="T T T"
B -2.9519 5.1644 3.6974
Cs 0.0000 0.0000 0.0000
Sm -1.7872 4.1950 1.4180
B -4.2220 5.1033 2.2774
B -1.4816 1.7131 2.5308
B -2.7517 1.6520 1.1108

***

6
Lattice="-1.6080 2.7556 4.8610 1.6080 -2.7556 4.8610 1.6080 2.7556 -4.8610" Properties=species:S:1:pos:R:3 comment="GGA-PBE CsSmB4, optimized geometry" spacegroup="No. 71" magnetic_moment_mub_per_fu=0.00 pbc="T T T"
Sm 0.0000 0.0000 4.8610
B 1.6080 -0.9180 2.4770
Cs 0.0000 0.0000 0.0000
B 0.0000 3.6736 2.3839
B 0.0000 1.8376 2.3839
B 1.6080 0.9180 2.4770

***

6
Lattice="-1.5408 2.8237 4.1982 1.5408 -2.8237 4.1982 1.5408 2.8237 -4.1982" Properties=species:S:1:pos:R:3 comment="GGA-PBE CsTaB4, optimized geometry" spacegroup="No. 71" magnetic_moment_mub_per_fu=0.01 pbc="T T T"
B 1.5408 -0.9065 2.2142
B 0.0000 1.9171 1.9840
B 1.5408 0.9065 2.2142
Cs 0.0000 0.0000 0.0000
Ta 0.0000 0.0000 4.1982
B 0.0000 3.7302 1.9840

***

6
Lattice="3.1440 0.0000 0.0000 -1.5720 2.7227 0.0000 0.0000 0.0000 8.8790" Properties=species:S:1:pos:R:3 comment="GGA-PBE CsTaB4, optimized geometry" spacegroup="No. 191" magnetic_moment_mub_per_fu=0.01 pbc="T T T"
B 0.0000 1.8152 7.2518
B 1.5720 0.9076 1.6272
B 1.5720 0.9076 7.2518
Cs 0.0000 0.0000 4.4395
Ta 0.0000 0.0000 0.0000
B 0.0000 1.8152 1.6272

***

3
Lattice="2.4358 1.4063 3.9776 -2.4358 1.4063 3.9776 0.0000 -2.8126 3.9776" Properties=species:S:1:pos:R:3 comment="GGA-PBE CsTbB, optimized geometry" spacegroup="No. 216" magnetic_moment_mub_per_fu=0.00 pbc="T T T"
Cs 0.0000 0.0000 0.0000
B 0.0000 0.0000 8.9495
Tb 0.0000 0.0000 2.9832

***

3
Lattice="0.0000 3.4577 3.4577 3.4577 0.0000 3.4577 3.4577 3.4577 0.0000" Properties=species:S:1:pos:R:3 comment="GGA-PBE CsThB, optimized geometry" spacegroup="No. 216" magnetic_moment_mub_per_fu=0.00 pbc="T T T"
Cs 1.7289 1.7289 1.7289
Th 5.1866 5.1866 5.1866
B 0.0000 0.0000 0.0000

***

6
Lattice="-1.5883 4.1092 4.1284 1.5883 -4.1092 4.1284 1.5883 4.1092 -4.1284" Properties=species:S:1:pos:R:3 comment="GGA-PBE CsThB4, optimized geometry" spacegroup="No. 71" magnetic_moment_mub_per_fu=0.01 pbc="T T T"
B 1.5883 -1.9303 2.1319
Cs 0.0000 0.0000 0.0000
B 1.5883 1.9303 2.1319
B 0.0000 2.1789 1.9965
B 0.0000 6.0395 1.9965
Th 0.0000 0.0000 4.1284

***

6
Lattice="3.3472 0.0000 0.0000 -1.6736 2.8987 0.0000 0.0000 0.0000 9.5630" Properties=species:S:1:pos:R:3 comment="GGA-PBE CsThB4, optimized geometry" spacegroup="No. 191" magnetic_moment_mub_per_fu=0.00 pbc="T T T"
B 0.0000 1.9325 7.5797
Th 0.0000 0.0000 0.0000
B 1.6736 0.9662 7.5797
B 0.0000 1.9325 1.9832
B 1.6736 0.9662 1.9832
Cs 0.0000 0.0000 4.7815

***

3
Lattice="-0.3719 -0.0701 4.8644 -2.8442 3.2457 2.2762 -4.1537 -1.4513 2.1084" Properties=species:S:1:pos:R:3 comment="GGA-PBE CsThB, optimized geometry" spacegroup="No. 216" magnetic_moment_mub_per_fu=0.00 pbc="T T T"
Th 0.0000 0.0000 0.0000
Cs -1.8424 0.4311 2.3123
B -3.6849 0.8622 4.6245

***

3
Lattice="-2.4688 -3.3253 1.8270 -4.3137 -0.5653 -1.2502 -1.1798 -3.5812 -2.5047" Properties=species:S:1:pos:R:3 comment="GGA-PBE CsBW, optimized geometry" spacegroup="No. 216" magnetic_moment_mub_per_fu=1.97 pbc="T T T"
W 0.0000 0.0000 0.0000
B -1.9906 -1.8680 -0.4820
Cs -5.9718 -5.6038 -1.4459

***

3
Lattice="0.0000 3.1044 3.1044 3.1044 0.0000 3.1044 3.1044 3.1044 0.0000" Properties=species:S:1:pos:R:3 comment="GGA-PBE CsBW, optimized geometry" spacegroup="No. 216" magnetic_moment_mub_per_fu=0.48 pbc="T T T"
W 4.6566 4.6566 4.6566
B 0.0000 0.0000 0.0000
Cs 1.5522 1.5522 1.5522

***

3
Lattice="0.0000 3.5424 3.5424 3.5424 0.0000 3.5424 3.5424 3.5424 0.0000" Properties=species:S:1:pos:R:3 comment="GGA-PBE CsZnB, optimized geometry" spacegroup="No. 216" pbc="T T T"
Cs 1.7712 1.7712 1.7712
Zn 5.3137 5.3137 5.3137
B 0.0000 0.0000 0.0000

***

6
Lattice="1.5415 -1.1486 5.1617 -4.4608 -1.1341 3.0255 3.2411 -1.4977 -4.1942" Properties=species:S:1:pos:R:3 comment="GGA-PBE CsZrB4, optimized geometry" spacegroup="No. 71" magnetic_moment_mub_per_fu=0.00 pbc="T T T"
B 0.9294 -1.4547 2.3059
Cs 0.0000 0.0000 0.0000
B -2.1227 -1.4874 1.3807
B -0.6077 -2.3257 1.6872
Zr -1.4597 -1.1413 4.0936
B 2.4445 -2.2930 2.6124

***

6
Lattice="-2.0240 -2.1888 -1.2456 2.0758 -0.8568 2.3229 -6.1506 2.1157 6.2766" Properties=species:S:1:pos:R:3 comment="GGA-PBE CsZrB4, optimized geometry" spacegroup="No. 191" magnetic_moment_mub_per_fu=0.01 pbc="T T T"
B -5.6504 -0.0273 5.0391
Zr 0.0000 0.0000 0.0000
Cs -3.0753 1.0578 3.1383
B -1.8151 -1.3466 1.1253
B -4.2838 0.4167 6.2286
B -0.4485 -0.9026 2.3148

***

6
Lattice="2.8178 -0.9945 2.7577 1.3898 2.8090 2.5907 -0.9910 -0.1991 3.9385" Properties=species:S:1:pos:R:3 comment="GGA-PBE CuB2, optimized geometry" spacegroup="No. 227" pbc="T T T"
Cu 0.0000 0.0000 0.0000
Cu 0.8042 0.4038 2.3217
B 0.6015 1.5069 4.4254
B 2.0104 1.0096 5.8043
B 1.3155 -0.3949 4.5089
B 2.5059 1.1092 3.8350

***

2
Lattice="1.8852 1.5353 1.8508 -0.6103 2.9019 0.7367 -0.8833 0.7020 2.8396" Properties=species:S:1:pos:R:3 comment="GGA-PBE CuB, optimized geometry" spacegroup="No. 225" pbc="T T T"
B 0.0000 0.0000 0.0000
Cu 0.1958 2.5696 2.7135

***

2
Lattice="-2.1280 1.3488 0.2970 0.6162 -1.7863 1.6927 1.6418 2.2087 1.7332" Properties=species:S:1:pos:R:3 comment="GGA-PBE CuB, optimized geometry" spacegroup="No. 187" pbc="T T T"
B 0.0181 1.9603 2.0621
Cu 0.1119 -0.1891 1.6607

***

6
Lattice="3.0705 1.7728 5.0141 -3.0705 1.7728 5.0141 0.0000 -3.5455 5.0141" Properties=species:S:1:pos:R:3 comment="GGA-PBE CuB2, optimized geometry" spacegroup="No. 227" pbc="T T T"
Cu 0.0000 0.0000 3.7606
B 0.0000 0.0000 5.6409
B -1.5353 0.8864 8.1479
B 0.0000 -1.7728 8.1479
Cu 0.0000 0.0000 7.5212
B 1.5353 0.8864 8.1479

***

7
Lattice="4.1034 0.0000 0.0000 0.0000 4.1034 0.0000 0.0000 0.0000 4.1034" Properties=species:S:1:pos:R:3 comment="GGA-PBE CuB6, optimized geometry" spacegroup="No. 221" pbc="T T T"
B 2.0517 2.0517 0.8075
B 3.2959 2.0517 2.0517
Cu 0.0000 0.0000 0.0000
B 2.0517 0.8075 2.0517
B 2.0517 3.2959 2.0517
B 2.0517 2.0517 3.2959
B 0.8075 2.0517 2.0517

***

2
Lattice="-3.2318 -0.4270 -0.4505 -2.1534 1.6931 1.8237 -1.7997 2.3885 -1.3734" Properties=species:S:1:pos:R:3 comment="GGA-PBE CuB, optimized geometry" spacegroup="No. 216" pbc="T T T"
B 0.0000 0.0000 0.0000
Cu -1.7962 0.9136 0.0000

***

| no. | electronic total energy (hartree per atom) |
| --- | --- |
| 1 | -0.177 |
| 2 | -0.186 |
| 3 | -0.187 |
| 4 | -0.173 |
| 5 | -0.146 |
| 6 | -0.142 |
| 7 | -0.231 |
| 8 | -0.199 |
| 9 | -0.145 |
| 10 | -0.189 |
| 11 | -0.177 |
| 12 | -0.206 |
| 13 | -0.244 |
| 14 | -0.079 |
| 15 | -0.133 |
| 16 | -0.203 |
| 17 | -0.207 |
| 18 | -0.108 |
| 19 | -0.147 |
| 20 | -0.147 |
| 21 | -0.052 |
| 22 | -0.196 |
| 23 | -0.224 |
| 24 | -0.174 |
| 25 | -0.153 |
| 26 | -0.164 |
| 27 | -0.133 |
| 28 | -0.213 |
| 29 | -0.146 |